[1]
Compound: LaCd9Rh2
Source: the Alexandria database
Functional: PBE
Structure: relaxed

Computed properties:
Total moment = 0.000 μB per cell
Formation energy = -0.19 eV per atom
V = 21.57 Å³ per atom
Fermi-level density of states = 0.709 states/eV per atom
Space-group type = I4_1/amd

abc: 7.617 9.082 9.082
angles: 79.87 65.21 65.21
Element x y z (fractional)
Cd: 0.312 0.678 0.080
Cd: 0.000 0.000 0.000
Cd: 0.680 0.580 0.178
Cd: 0.312 0.080 0.678
Cd: 0.750 0.500 0.500
Cd: 0.010 0.678 0.920
Cd: 0.608 0.322 0.080
Cd: 0.438 0.822 0.420
Cd: 0.142 0.420 0.178
Cd: 0.010 0.920 0.678
Cd: 0.608 0.080 0.322
Cd: 0.142 0.178 0.420
Cd: 0.740 0.580 0.822
Cd: 0.680 0.178 0.580
Cd: 0.438 0.420 0.822
Cd: 0.070 0.920 0.322
Cd: 0.740 0.822 0.580
Cd: 0.070 0.322 0.920
Rh: 0.875 0.750 0.250
Rh: 0.375 0.750 0.750
Rh: 0.875 0.250 0.750
Rh: 0.875 0.250 0.250
La: 0.500 0.000 0.000
La: 0.250 0.500 0.500


[2]
Compound: TbBiTeO6
Source: the Alexandria database
Functional: PBE
Structure: relaxed

Computed properties:
Total moment = 0.000 μB per cell
V = 14.77 Å³ per atom
Fermi-level density of states = 0.000 states/eV per atom
Space-group type = P-31c
Formation energy (no corrections) = -1.783 eV per atom

abc: 5.660 5.660 9.584
angles: 90.00 90.00 120.00
Element x y z (fractional)
O: 0.957 0.337 0.136
O: 0.337 0.957 0.636
O: 0.620 0.957 0.864
O: 0.043 0.663 0.864
O: 0.663 0.620 0.136
O: 0.337 0.380 0.864
O: 0.380 0.043 0.136
O: 0.380 0.337 0.364
O: 0.957 0.620 0.364
O: 0.663 0.043 0.364
O: 0.043 0.380 0.636
O: 0.620 0.663 0.636
Tb: 0.333 0.667 0.250
Tb: 0.667 0.333 0.750
Bi: 0.000 0.000 0.000
Bi: 0.000 0.000 0.500
Te: 0.667 0.333 0.250
Te: 0.333 0.667 0.750


[3]
Compound: Ac2DyAl
Source: the Alexandria database
Functional: PBE
Structure: relaxed

Computed properties:
Total moment = 0.000 μB per cell
Formation energy = -0.05 eV per atom
V = 34.82 Å³ per atom
Fermi-level density of states = 1.306 states/eV per atom
Offset from the most stable computed form = 0 meV/atom
Space-group type = P4/mmm

abc: 3.951 3.951 8.920
angles: 90.00 90.00 90.00
Element x y z (fractional)
Dy: 0.500 0.500 0.500
Ac: 0.000 0.000 0.785
Ac: 0.000 0.000 0.215
Al: 0.500 0.500 0.000


[4]
Compound: Be2P
Source: the Alexandria database
Functional: PBE
Structure: relaxed

Computed properties:
Total moment = 0.000 μB per cell
Formation energy = 0.24 eV per atom
V = 11.99 Å³ per atom
Fermi-level density of states = 0.165 states/eV per atom
Offset from the most stable computed form = 371 meV/atom
Space-group type = C2/m

abc: 5.837 5.837 5.284
angles: 76.27 76.27 24.33
Element x y z (fractional)
P: 0.585 0.585 0.197
P: 0.415 0.415 0.803
Be: 0.799 0.799 0.134
Be: 0.818 0.818 0.549
Be: 0.182 0.182 0.451
Be: 0.201 0.201 0.866


[5]
Compound: Pr4DyGe4
Source: the Alexandria database
Functional: PBE
Structure: relaxed

Computed properties:
Total moment = 0.000 μB per cell
Formation energy = -0.59 eV per atom
V = 28.55 Å³ per atom
Fermi-level density of states = 0.952 states/eV per atom
Space-group type = P4_2/n

abc: 6.173 9.124 9.124
angles: 90.00 90.00 90.00
Element x y z (fractional)
Ge: 0.644 0.763 0.379
Ge: 0.356 0.379 0.237
Ge: 0.356 0.621 0.763
Ge: 0.644 0.237 0.621
Ge: 0.144 0.121 0.263
Ge: 0.856 0.737 0.121
Ge: 0.856 0.263 0.879
Ge: 0.144 0.879 0.737
Dy: 0.000 0.000 0.000
Dy: 0.500 0.500 0.500
Pr: 0.633 0.922 0.702
Pr: 0.367 0.702 0.078
Pr: 0.633 0.078 0.298
Pr: 0.133 0.798 0.422
Pr: 0.867 0.578 0.798
Pr: 0.867 0.422 0.202
Pr: 0.133 0.202 0.578
Pr: 0.367 0.298 0.922


[6]
Compound: TlMoRh4
Source: the Alexandria database
Functional: PBE
Structure: relaxed

Computed properties:
Total moment = 0.000 μB per cell
Formation energy = 0.30 eV per atom
V = 16.21 Å³ per atom
Fermi-level density of states = 1.222 states/eV per atom
Space-group type = F-43m

abc: 5.162 5.162 5.162
angles: 60.00 60.00 60.00
Element x y z (fractional)
Rh: 0.375 0.375 0.375
Rh: 0.375 0.375 0.875
Rh: 0.875 0.375 0.375
Rh: 0.375 0.875 0.375
Tl: 0.750 0.750 0.750
Mo: 0.000 0.000 0.000


[7]
Compound: Gd2YMg
Source: the Alexandria database
Functional: PBE
Structure: relaxed

Computed properties:
Total moment = 14.896 μB per cell
Formation energy = -0.03 eV per atom
V = 30.43 Å³ per atom
Fermi-level density of states = 1.547 states/eV per atom
Offset from the most stable computed form = 0 meV/atom
Space-group type = P4/mmm

abc: 3.625 3.625 9.263
angles: 90.00 90.00 90.00
Element x y z (fractional)
Y: 0.500 0.500 0.500
Gd: 0.000 0.000 0.233
Gd: 0.000 0.000 0.767
Mg: 0.500 0.500 0.000


[8]
Compound: Zn2Ag5Au3
Source: the Alexandria database
Functional: PBE
Structure: relaxed

Computed properties:
Total moment = 0.000 μB per cell
Formation energy = 0.00 eV per atom
V = 18.78 Å³ per atom
Fermi-level density of states = 0.392 states/eV per atom
Offset from the most stable computed form = 0 meV/atom
Space-group type = C2/c

abc: 8.992 7.858 8.894
angles: 127.53 130.68 70.65
Element x y z (fractional)
Ag: 0.750 0.500 0.000
Ag: 0.178 0.435 0.251
Ag: 0.428 0.184 0.749
Ag: 0.822 0.565 0.749
Ag: 0.572 0.816 0.251
Ag: 0.007 0.257 0.513
Ag: 0.993 0.743 0.487
Ag: 0.494 0.744 0.488
Ag: 0.250 0.500 0.000
Ag: 0.506 0.256 0.512
Zn: 0.375 0.858 0.739
Zn: 0.864 0.881 0.739
Zn: 0.136 0.119 0.261
Zn: 0.625 0.142 0.261
Au: 0.312 0.547 0.728
Au: 0.915 0.181 0.728
Au: 0.688 0.453 0.272
Au: 0.248 0.998 0.996
Au: 0.085 0.819 0.272
Au: 0.752 0.002 0.004


no.,energy (eV/atom)
1,-2.508
2,-6.383
3,-4.190
4,-4.052
5,-5.282
6,-6.799
7,-9.083
8,-2.659